Entry 1:
Below is an optimized crystal structure of BaPrBi2, with properties calculated at the PBE level.

Geometry as CIF:
```
data_BaPrBi2
_space_group_name_H-M_alt 'R 3 m'
_space_group_IT_number 160
_space_group_name_Hall 'R 3 -2"'
_cell_length_a 4.6803
_cell_length_b 4.6803
_cell_length_c 25.8288
_cell_angle_alpha 90.00
_cell_angle_beta 90.00
_cell_angle_gamma 120.00
loop_
_atom_site_label
_atom_site_fract_x
_atom_site_fract_y
_atom_site_fract_z
Ba1 0.0000 0.0000 0.0000
Pr1 0.0000 0.0000 0.1718
Bi1 0.0000 0.0000 0.5768
Bi2 0.0000 0.0000 0.7625
```

Results
Uncorrected energy, eV for the cell shown: -52.70
Polymorph energy (0 for the lowest one), eV per atom: 0.042
Energy relative to the elements, kJ/mol of atoms: -74.9

---

Entry 2:
Below is an optimized crystal structure of Ba5PrBi4, with properties calculated at the PBE level.

Geometry as CIF:
```
data_Ba5PrBi4
_space_group_name_H-M_alt 'C 1 2/m 1'
_space_group_IT_number 12
_space_group_name_Hall '-C 2y'
_cell_length_a 22.519
_cell_length_b 5.136
_cell_length_c 9.308
_cell_angle_alpha 90.00
_cell_angle_beta 114.32
_cell_angle_gamma 90.00
loop_
_atom_site_label
_atom_site_fract_x
_atom_site_fract_y
_atom_site_fract_z
Ba1 0.000 0.000 0.000
Ba2 0.166 0.500 0.917
Ba3 0.167 0.500 0.419
Pr1 0.000 0.000 0.500
Bi1 0.000 0.500 0.266
Bi2 0.186 0.000 0.687
```

Results
Uncorrected energy, eV for the cell shown: -75.19
Energy relative to the elements, kJ/mol of atoms: -74.1

---

Entry 3:
Below is an optimized crystal structure of BaPrBi2, with properties calculated at the PBE level.

Geometry as CIF:
```
data_BaPrBi2
_space_group_name_H-M_alt 'P 4/m m m'
_space_group_IT_number 123
_space_group_name_Hall '-P 4 2'
_cell_length_a 4.052
_cell_length_b 4.052
_cell_length_c 8.804
_cell_angle_alpha 90.00
_cell_angle_beta 90.00
_cell_angle_gamma 90.00
loop_
_atom_site_label
_atom_site_fract_x
_atom_site_fract_y
_atom_site_fract_z
Ba1 0.000 0.000 0.000
Pr1 0.000 0.000 0.500
Bi1 0.500 0.500 0.276
```

Results
Uncorrected energy, eV for the cell shown: -17.49
Polymorph energy (0 for the lowest one), eV per atom: 0.063
Energy relative to the elements, kJ/mol of atoms: -72.9

---

Entry 4:
Below is an optimized crystal structure of BaPrBi2, with properties calculated at the PBE level.

Geometry as CIF:
```
data_BaPrBi2
_space_group_name_H-M_alt 'R -3 m'
_space_group_IT_number 166
_space_group_name_Hall '-R 3 2"'
_cell_length_a 4.7399
_cell_length_b 4.7399
_cell_length_c 24.9327
_cell_angle_alpha 90.00
_cell_angle_beta 90.00
_cell_angle_gamma 120.00
loop_
_atom_site_label
_atom_site_fract_x
_atom_site_fract_y
_atom_site_fract_z
Ba1 0.0000 0.0000 0.0000
Pr1 0.0000 0.0000 0.5000
Bi1 0.0000 0.0000 0.2408
```

Results
Uncorrected energy, eV for the cell shown: -53.21
Polymorph energy (0 for the lowest one), eV per atom: 0.000
Energy relative to the elements, kJ/mol of atoms: -79.0

---

Entry 5:
Below is an optimized crystal structure of BaBiPt2, with properties calculated at the PBE level.

Geometry as CIF:
```
data_BaBiPt2
_space_group_name_H-M_alt 'C m c m'
_space_group_IT_number 63
_space_group_name_Hall '-C 2c 2'
_cell_length_a 5.043
_cell_length_b 11.580
_cell_length_c 6.972
_cell_angle_alpha 90.00
_cell_angle_beta 90.00
_cell_angle_gamma 90.00
loop_
_atom_site_label
_atom_site_fract_x
_atom_site_fract_y
_atom_site_fract_z
Ba1 0.000 0.071 0.250
Bi1 0.000 0.227 0.750
Pt1 0.000 0.385 0.060
```

Results
Uncorrected energy, eV for the cell shown: -79.50
Energy relative to the elements, kJ/mol of atoms: -48.0

---

Entry 6:
Below is an optimized crystal structure of Ba6BiPt3, with properties calculated at the PBE level.

Geometry as CIF:
```
data_Ba6BiPt3
_space_group_name_H-M_alt 'P 1 21/m 1'
_space_group_IT_number 11
_space_group_name_Hall '-P 2yb'
_cell_length_a 13.101
_cell_length_b 4.799
_cell_length_c 13.489
_cell_angle_alpha 90.00
_cell_angle_beta 108.50
_cell_angle_gamma 90.00
loop_
_atom_site_label
_atom_site_fract_x
_atom_site_fract_y
_atom_site_fract_z
Ba1 0.031 0.250 0.392
Ba2 0.105 0.250 0.943
Ba3 0.219 0.750 0.264
Ba4 0.292 0.750 0.758
Ba5 0.370 0.250 0.537
Ba6 0.422 0.750 0.088
Bi1 0.448 0.250 0.299
Pt1 0.051 0.250 0.164
Pt2 0.184 0.750 0.498
Pt3 0.341 0.250 0.916
```

Results
Uncorrected energy, eV for the cell shown: -81.45
Energy relative to the elements, kJ/mol of atoms: -69.3

---

Question: Which formula does entry 3 have?
Answer: BaPrBi2

---

Please write out number 4 again, unchanged.
Below is an optimized crystal structure of BaPrBi2, with properties calculated at the PBE level.

Geometry as CIF:
```
data_BaPrBi2
_space_group_name_H-M_alt 'R -3 m'
_space_group_IT_number 166
_space_group_name_Hall '-R 3 2"'
_cell_length_a 4.7399
_cell_length_b 4.7399
_cell_length_c 24.9327
_cell_angle_alpha 90.00
_cell_angle_beta 90.00
_cell_angle_gamma 120.00
loop_
_atom_site_label
_atom_site_fract_x
_atom_site_fract_y
_atom_site_fract_z
Ba1 0.0000 0.0000 0.0000
Pr1 0.0000 0.0000 0.5000
Bi1 0.0000 0.0000 0.2408
```

Results
Uncorrected energy, eV for the cell shown: -53.21
Polymorph energy (0 for the lowest one), eV per atom: 0.000
Energy relative to the elements, kJ/mol of atoms: -79.0